1.
Here is ZnBiN2F after structural relaxation from the Alexandria database. Energies are from PBE-GGA.

The structure in POSCAR format:
```
ZnBiN2F
1.0
3.954 0.000 0.000
0.000 3.954 0.000
0.000 0.000 4.076
F N Bi Zn
1 2 1 1
Direct
0.000 0.000 0.500
0.000 0.500 0.000
0.500 0.000 0.000
0.500 0.500 0.500
0.000 0.000 0.000
```

Summary:
The calculated total energy comes out at -21.784 eV per cell. For the spin magnetization, the calculation gives 0.0 μB/f.u. For the density of states at the Fermi level, the calculation gives 2.2 states/eV/f.u. As for the raw formation energy: 0.379 eV per atom. The calculation puts the density at 8.4 g/cm3. As for the energy above the most stable polymorph in this dataset: 0.00 eV per formula unit.

=====

2.
Here is ZnBiN2F after structural relaxation from the Alexandria database. Energies are from PBE-GGA.

The structure in POSCAR format:
```
ZnBiN2F
1.0
4.345 0.000 0.000
0.000 4.345 0.000
0.000 0.000 4.348
Bi Zn F N
1 1 1 2
Direct
0.000 0.000 0.000
0.500 0.500 0.500
0.000 0.000 0.500
0.500 0.000 0.000
0.000 0.500 0.000
```

Summary:
The calculated total energy comes out at -19.534 eV per cell. For the spin magnetization, the calculation gives 0.0 μB/f.u. For the density of states at the Fermi level, the calculation gives 3.0 states/eV/f.u. As for the raw formation energy: 0.829 eV per atom. The calculation puts the density at 6.5 g/cm3. As for the energy above the most stable polymorph in this dataset: 2.25 eV per formula unit.

=====

3.
Here is ZnBiNF2 after structural relaxation from the Alexandria database. Energies are from PBE-GGA.

The structure in POSCAR format:
```
ZnBiNF2
1.0
3.924 0.000 0.000
0.000 3.924 0.000
0.000 0.000 4.424
Zn F N Bi
1 2 1 1
Direct
0.000 0.000 0.000
0.000 0.500 0.000
0.500 0.000 0.000
0.000 0.000 0.500
0.500 0.500 0.500
```

Summary:
The calculated total energy comes out at -20.961 eV per cell. For the spin magnetization, the calculation gives 0.0 μB/f.u. For the density of states at the Fermi level, the calculation gives 0.4 states/eV/f.u. As for the raw formation energy: -0.748 eV per atom. The calculation puts the density at 8.0 g/cm3. As for the energy above the most stable polymorph in this dataset: 0.00 eV per formula unit.

=====

4.
Here is ZnBiNF2 after structural relaxation from the Alexandria database. Energies are from PBE-GGA.

The structure in POSCAR format:
```
ZnBiNF2
1.0
-1.828 4.112 -0.098
-2.050 -1.003 -3.880
-3.607 -1.549 2.306
F Bi N Zn
2 1 1 1
Direct
0.500 0.000 0.000
0.000 0.500 0.000
0.000 0.000 0.000
0.000 0.000 0.500
0.500 0.500 0.500
```

Summary:
The calculated total energy comes out at -19.225 eV per cell. For the spin magnetization, the calculation gives 0.0 μB/f.u. For the density of states at the Fermi level, the calculation gives 2.9 states/eV/f.u. As for the raw formation energy: -0.400 eV per atom. The calculation puts the density at 5.9 g/cm3. As for the energy above the most stable polymorph in this dataset: 1.74 eV per formula unit.

=====

> Which formula does entry 3 have?

ZnBiNF2

=====

> The lowest raw formation energy belongs to which entry?

number 3